No. 1
# SrLaTc2 (GGA-PBE, relaxed)
data_SrLaTc2
_chemical_formula_sum 'Sr2 La2 Tc4'
_symmetry_space_group_name_H-M 'P 1'
_symmetry_Int_Tables_number 1
_symmetry_space_group_name_Hall 'P 1'
_cell_length_a 6.399
_cell_length_b 9.538
_cell_length_c 3.040
_cell_angle_alpha 90.00
_cell_angle_beta 109.48
_cell_angle_gamma 90.00
loop_
_atom_site_label
_atom_site_type_symbol
_atom_site_fract_x
_atom_site_fract_y
_atom_site_fract_z
Sr1 Sr 0.000 0.000 0.000
Sr2 Sr 0.500 0.500 0.000
La1 La 0.000 0.500 0.000
La2 La 0.500 0.000 0.000
Tc1 Tc 0.250 0.250 0.500
Tc2 Tc 0.250 0.750 0.500
Tc3 Tc 0.750 0.250 0.500
Tc4 Tc 0.750 0.750 0.500
# * total magnetization: 0.00 Bohr magnetons per cell
# * mass density: 8.02 g/cm3
# * electronic total energy: -5.933 eV/atom
# * formation energy: 0.9020 eV per atom



No. 2
# CaTiBi2O6 (GGA-PBE, relaxed)
data_CaTiBi2O6
_chemical_formula_sum 'Ca1 Ti1 Bi2 O6'
_symmetry_space_group_name_H-M 'P 1'
_symmetry_Int_Tables_number 1
_symmetry_space_group_name_Hall 'P 1'
_cell_length_a 5.970
_cell_length_b 5.970
_cell_length_c 5.970
_cell_angle_alpha 58.39
_cell_angle_beta 58.39
_cell_angle_gamma 58.39
loop_
_atom_site_label
_atom_site_type_symbol
_atom_site_fract_x
_atom_site_fract_y
_atom_site_fract_z
Ca1 Ca 0.000 0.000 0.000
Ti1 Ti 0.497 0.497 0.497
Bi1 Bi 0.286 0.286 0.286
Bi2 Bi 0.779 0.779 0.779
O1 O 0.144 0.674 0.370
O2 O 0.231 0.633 0.801
O3 O 0.370 0.144 0.674
O4 O 0.633 0.801 0.231
O5 O 0.674 0.370 0.144
O6 O 0.801 0.231 0.633
# * total magnetization: 0.00 Bohr magnetons per cell
# * formation energy (no corrections): -2.1392 eV/atom
# * mass density: 6.90 g/cm3
# * electronic total energy: -6.880 eV/atom



No. 3
# Li2LaP2 (GGA-PBE, relaxed)
data_Li2LaP2
_chemical_formula_sum 'Li4 La2 P4'
_symmetry_space_group_name_H-M 'P 1'
_symmetry_Int_Tables_number 1
_symmetry_space_group_name_Hall 'P 1'
_cell_length_a 4.614
_cell_length_b 4.614
_cell_length_c 8.770
_cell_angle_alpha 90.00
_cell_angle_beta 90.00
_cell_angle_gamma 90.00
loop_
_atom_site_label
_atom_site_type_symbol
_atom_site_fract_x
_atom_site_fract_y
_atom_site_fract_z
Li1 Li 0.000 0.000 0.149
Li2 Li 0.000 0.000 0.851
Li3 Li 0.500 0.500 0.351
Li4 Li 0.500 0.500 0.649
La1 La 0.000 0.000 0.500
La2 La 0.500 0.500 0.000
P1 P 0.000 0.500 0.250
P2 P 0.000 0.500 0.750
P3 P 0.500 0.000 0.250
P4 P 0.500 0.000 0.750
# * total magnetization: 0.00 Bohr magnetons per cell
# * mass density: 3.82 g/cm3
# * electronic total energy: -4.577 eV/atom
# * formation energy: -0.6625 eV per atom



No. 4
# Cr2C (GGA-PBE, relaxed)
data_Cr2C
_chemical_formula_sum 'Cr8 C4'
_symmetry_space_group_name_H-M 'P 1'
_symmetry_Int_Tables_number 1
_symmetry_space_group_name_Hall 'P 1'
_cell_length_a 12.726
_cell_length_b 12.726
_cell_length_c 12.726
_cell_angle_alpha 166.15
_cell_angle_beta 166.15
_cell_angle_gamma 19.64
loop_
_atom_site_label
_atom_site_type_symbol
_atom_site_fract_x
_atom_site_fract_y
_atom_site_fract_z
Cr1 Cr 0.125 0.375 0.750
Cr2 Cr 0.293 0.543 0.750
Cr3 Cr 0.375 0.125 0.250
Cr4 Cr 0.457 0.707 0.750
Cr5 Cr 0.543 0.293 0.250
Cr6 Cr 0.625 0.875 0.750
Cr7 Cr 0.707 0.457 0.250
Cr8 Cr 0.875 0.625 0.250
C1 C 0.062 0.812 0.250
C2 C 0.188 0.938 0.250
C3 C 0.812 0.062 0.750
C4 C 0.938 0.188 0.750
# * total magnetization: 2.68 Bohr magnetons per cell
# * mass density: 6.52 g/cm3
# * electronic total energy: -8.924 eV/atom
# * formation energy: 0.5665 eV per atom



No. 5
# La3Ce2ErS6 (GGA-PBE, relaxed)
data_La3Ce2ErS6
_chemical_formula_sum 'La3 Ce2 Er1 S6'
_symmetry_space_group_name_H-M 'P 1'
_symmetry_Int_Tables_number 1
_symmetry_space_group_name_Hall 'P 1'
_cell_length_a 7.030
_cell_length_b 7.030
_cell_length_c 7.065
_cell_angle_alpha 99.58
_cell_angle_beta 99.58
_cell_angle_gamma 120.04
loop_
_atom_site_label
_atom_site_type_symbol
_atom_site_fract_x
_atom_site_fract_y
_atom_site_fract_z
La1 La 0.000 0.000 0.000
La2 La 0.331 0.669 0.000
La3 La 0.669 0.331 0.000
Ce1 Ce 0.166 0.834 0.500
Ce2 Ce 0.834 0.166 0.500
Er1 Er 0.500 0.500 0.500
S1 S 0.097 0.422 0.265
S2 S 0.254 0.254 0.738
S3 S 0.422 0.097 0.265
S4 S 0.578 0.903 0.735
S5 S 0.746 0.746 0.262
S6 S 0.903 0.578 0.735
# * total magnetization: 1.56 Bohr magnetons per cell
# * formation energy (no corrections): -2.0875 eV/atom
# * mass density: 6.16 g/cm3
# * electronic total energy: -6.752 eV/atom



No. 6
# Ac4CoNCl2 (GGA-PBE, relaxed)
data_Ac4CoNCl2
_chemical_formula_sum 'Ac4 Co1 N1 Cl2'
_symmetry_space_group_name_H-M 'P 1'
_symmetry_Int_Tables_number 1
_symmetry_space_group_name_Hall 'P 1'
_cell_length_a 7.197
_cell_length_b 3.954
_cell_length_c 8.320
_cell_angle_alpha 90.00
_cell_angle_beta 108.76
_cell_angle_gamma 90.00
loop_
_atom_site_label
_atom_site_type_symbol
_atom_site_fract_x
_atom_site_fract_y
_atom_site_fract_z
Ac1 Ac 0.214 0.000 0.195
Ac2 Ac 0.258 0.500 0.807
Ac3 Ac 0.742 0.500 0.193
Ac4 Ac 0.786 0.000 0.805
Co1 Co 0.500 0.000 0.000
N1 N 0.000 0.500 0.000
Cl1 Cl 0.000 0.000 0.500
Cl2 Cl 0.500 0.500 0.500
# * total magnetization: 0.00 Bohr magnetons per cell
# * formation energy (no corrections): -1.0598 eV/atom
# * mass density: 7.79 g/cm3
# * electronic total energy: -5.505 eV/atom



No. 7
# B8O (GGA-PBE, relaxed)
data_B8O
_chemical_formula_sum 'B48 O6'
_symmetry_space_group_name_H-M 'P 1'
_symmetry_Int_Tables_number 1
_symmetry_space_group_name_Hall 'P 1'
_cell_length_a 9.097
_cell_length_b 9.097
_cell_length_c 5.141
_cell_angle_alpha 92.14
_cell_angle_beta 92.14
_cell_angle_gamma 71.37
loop_
_atom_site_label
_atom_site_type_symbol
_atom_site_fract_x
_atom_site_fract_y
_atom_site_fract_z
B1 B 0.000 0.000 0.164
B2 B 0.000 0.000 0.836
B3 B 0.000 0.167 0.669
B4 B 0.000 0.833 0.331
B5 B 0.004 0.497 0.665
B6 B 0.005 0.331 0.830
B7 B 0.101 0.101 0.378
B8 B 0.101 0.838 0.640
B9 B 0.102 0.339 0.140
B10 B 0.102 0.600 0.879
B11 B 0.162 0.899 0.360
B12 B 0.166 0.501 0.170
B13 B 0.167 0.000 0.669
B14 B 0.177 0.394 0.859
B15 B 0.331 0.005 0.830
B16 B 0.331 0.497 0.338
B17 B 0.339 0.102 0.140
B18 B 0.339 0.600 0.642
B19 B 0.394 0.177 0.859
B20 B 0.394 0.394 0.642
B21 B 0.400 0.661 0.358
B22 B 0.400 0.898 0.121
B23 B 0.497 0.004 0.665
B24 B 0.497 0.331 0.338
B25 B 0.499 0.499 0.165
B26 B 0.499 0.834 0.830
B27 B 0.501 0.166 0.170
B28 B 0.501 0.501 0.835
B29 B 0.503 0.669 0.662
B30 B 0.503 0.996 0.335
B31 B 0.600 0.102 0.879
B32 B 0.600 0.339 0.642
B33 B 0.606 0.606 0.358
B34 B 0.606 0.823 0.141
B35 B 0.661 0.400 0.358
B36 B 0.661 0.898 0.860
B37 B 0.669 0.503 0.662
B38 B 0.669 0.995 0.170
B39 B 0.823 0.606 0.141
B40 B 0.833 0.000 0.331
B41 B 0.834 0.499 0.830
B42 B 0.838 0.101 0.640
B43 B 0.898 0.400 0.121
B44 B 0.898 0.661 0.860
B45 B 0.899 0.162 0.360
B46 B 0.899 0.899 0.622
B47 B 0.995 0.669 0.170
B48 B 0.996 0.503 0.335
O1 O 0.190 0.690 0.761
O2 O 0.191 0.191 0.263
O3 O 0.310 0.810 0.239
O4 O 0.690 0.190 0.761
O5 O 0.809 0.809 0.737
O6 O 0.810 0.310 0.239
# * total magnetization: 0.00 Bohr magnetons per cell
# * formation energy (no corrections): -0.5234 eV/atom
# * mass density: 2.54 g/cm3
# * electronic total energy: -7.010 eV/atom



No. 8
# Ta2Te2S (GGA-PBE, relaxed)
data_Ta2Te2S
_chemical_formula_sum 'Ta4 Te4 S2'
_symmetry_space_group_name_H-M 'P 1'
_symmetry_Int_Tables_number 1
_symmetry_space_group_name_Hall 'P 1'
_cell_length_a 3.890
_cell_length_b 3.890
_cell_length_c 16.727
_cell_angle_alpha 90.00
_cell_angle_beta 90.00
_cell_angle_gamma 90.00
loop_
_atom_site_label
_atom_site_type_symbol
_atom_site_fract_x
_atom_site_fract_y
_atom_site_fract_z
Ta1 Ta 0.000 0.500 0.250
Ta2 Ta 0.000 0.500 0.750
Ta3 Ta 0.500 0.000 0.250
Ta4 Ta 0.500 0.000 0.750
Te1 Te 0.000 0.000 0.123
Te2 Te 0.000 0.000 0.877
Te3 Te 0.500 0.500 0.377
Te4 Te 0.500 0.500 0.623
S1 S 0.000 0.000 0.500
S2 S 0.500 0.500 0.000
# * total magnetization: 3.52 Bohr magnetons per cell
# * formation energy (no corrections): 0.3473 eV/atom
# * mass density: 8.52 g/cm3
# * electronic total energy: -6.476 eV/atom



No. 9
# CsRbHg12 (GGA-PBE, relaxed)
data_CsRbHg12
_chemical_formula_sum 'Cs1 Rb1 Hg12'
_symmetry_space_group_name_H-M 'P 1'
_symmetry_Int_Tables_number 1
_symmetry_space_group_name_Hall 'P 1'
_cell_length_a 7.567
_cell_length_b 7.567
_cell_length_c 15.203
_cell_angle_alpha 90.00
_cell_angle_beta 90.00
_cell_angle_gamma 90.00
loop_
_atom_site_label
_atom_site_type_symbol
_atom_site_fract_x
_atom_site_fract_y
_atom_site_fract_z
Cs1 Cs 0.000 0.000 0.000
Rb1 Rb 0.000 0.000 0.500
Hg1 Hg 0.198 0.500 0.250
Hg2 Hg 0.198 0.500 0.750
Hg3 Hg 0.500 0.198 0.250
Hg4 Hg 0.500 0.198 0.750
Hg5 Hg 0.500 0.500 0.099
Hg6 Hg 0.500 0.500 0.401
Hg7 Hg 0.500 0.500 0.599
Hg8 Hg 0.500 0.500 0.901
Hg9 Hg 0.500 0.802 0.250
Hg10 Hg 0.500 0.802 0.750
Hg11 Hg 0.802 0.500 0.250
Hg12 Hg 0.802 0.500 0.750
# * total magnetization: 0.00 Bohr magnetons per cell
# * mass density: 5.01 g/cm3
# * electronic total energy: -0.345 eV/atom
# * formation energy: 0.0433 eV per atom



No. 10
# Cd4CuTc (GGA-PBE, relaxed)
data_Cd4CuTc
_chemical_formula_sum 'Cd4 Cu1 Tc1'
_symmetry_space_group_name_H-M 'P 1'
_symmetry_Int_Tables_number 1
_symmetry_space_group_name_Hall 'P 1'
_cell_length_a 5.540
_cell_length_b 5.540
_cell_length_c 5.540
_cell_angle_alpha 60.00
_cell_angle_beta 60.00
_cell_angle_gamma 60.00
loop_
_atom_site_label
_atom_site_type_symbol
_atom_site_fract_x
_atom_site_fract_y
_atom_site_fract_z
Cd1 Cd 0.125 0.125 0.125
Cd2 Cd 0.125 0.125 0.625
Cd3 Cd 0.125 0.625 0.125
Cd4 Cd 0.625 0.125 0.125
Cu1 Cu 0.750 0.750 0.750
Tc1 Tc 0.500 0.500 0.500
# * total magnetization: 2.42 Bohr magnetons per cell
# * mass density: 8.44 g/cm3
# * electronic total energy: -2.362 eV/atom
# * formation energy: 0.6586 eV per atom



No. 11
# CsTi3Zn (GGA-PBE, relaxed)
data_CsTi3Zn
_chemical_formula_sum 'Cs1 Ti3 Zn1'
_symmetry_space_group_name_H-M 'P 1'
_symmetry_Int_Tables_number 1
_symmetry_space_group_name_Hall 'P 1'
_cell_length_a 4.983
_cell_length_b 4.983
_cell_length_c 4.983
_cell_angle_alpha 90.00
_cell_angle_beta 90.00
_cell_angle_gamma 90.00
loop_
_atom_site_label
_atom_site_type_symbol
_atom_site_fract_x
_atom_site_fract_y
_atom_site_fract_z
Cs1 Cs 0.000 0.000 0.000
Ti1 Ti 0.000 0.500 0.500
Ti2 Ti 0.500 0.000 0.500
Ti3 Ti 0.500 0.500 0.000
Zn1 Zn 0.500 0.500 0.500
# * total magnetization: 0.00 Bohr magnetons per cell
# * mass density: 4.59 g/cm3
# * electronic total energy: -3.979 eV/atom
# * formation energy: 1.1830 eV per atom



No. 12
# BaMgZn2Ir (GGA-PBE, relaxed)
data_BaMgZn2Ir
_chemical_formula_sum 'Ba1 Mg1 Zn2 Ir1'
_symmetry_space_group_name_H-M 'P 1'
_symmetry_Int_Tables_number 1
_symmetry_space_group_name_Hall 'P 1'
_cell_length_a 4.992
_cell_length_b 4.992
_cell_length_c 4.994
_cell_angle_alpha 90.00
_cell_angle_beta 90.00
_cell_angle_gamma 90.00
loop_
_atom_site_label
_atom_site_type_symbol
_atom_site_fract_x
_atom_site_fract_y
_atom_site_fract_z
Ba1 Ba 0.000 0.000 0.000
Mg1 Mg 0.500 0.500 0.000
Zn1 Zn 0.000 0.500 0.500
Zn2 Zn 0.500 0.000 0.500
Ir1 Ir 0.500 0.500 0.500
# * total magnetization: 0.00 Bohr magnetons per cell
# * mass density: 6.47 g/cm3
# * electronic total energy: -3.267 eV/atom
# * formation energy: -0.2813 eV per atom